VASP calculation (PBE) on PmEr3Pu2Se6 after structural relaxation.

Geometry as POSCAR:
```
PmEr3Pu2Se6
1.0
7.068 -0.005 -0.001
-3.537 6.120 -0.001
-1.179 -2.041 6.756
Pm Er Pu Se
1 3 2 6
direct
0.000 0.000 0.000
0.165 0.835 0.500
0.835 0.165 0.500
0.500 0.500 0.500
0.333 0.667 0.000
0.667 0.333 0.000
0.913 0.576 0.739
0.750 0.750 0.260
0.087 0.424 0.261
0.576 0.913 0.739
0.250 0.250 0.740
0.424 0.087 0.261
```

SG = C2/m
formation energy without anion corrections = -1692 meV per atom
E_tot = -7.360 eV per atom
magnetic moment = 11.82 μB per cell
density of states at the Fermi level = 18.28 states/eV/f.u.

***

VASP calculation (PBE) on PmErPu2Se5 after structural relaxation.

Geometry as POSCAR:
```
PmErPu2Se5
1.0
-0.554 5.056 -0.344
-5.019 -0.500 0.744
1.507 0.897 10.774
Pm Er Pu Se
1 1 2 5
direct
0.000 0.000 0.000
0.000 0.000 0.500
0.500 0.500 0.311
0.500 0.500 0.689
0.000 0.500 0.500
0.500 0.000 0.500
0.000 0.000 0.751
0.000 0.000 0.249
0.500 0.500 0.000
```

SG = P4/mmm
formation energy without anion corrections = -1188 meV per atom
E_tot = -7.343 eV per atom
magnetic moment = 11.84 μB per cell
density of states at the Fermi level = 32.22 states/eV/f.u.

***

Q: What is the E_tot in the second record?
A: -7.343 eV per atom